Np3Se4 | PBE | relaxed

Cell and atoms, written as CIF:
```
data_Np3Se4
_chemical_formula_sum 'Np9 Se12'
_symmetry_space_group_name_H-M 'R -3 m'
_symmetry_Int_Tables_number 166
_symmetry_space_group_name_Hall '-R 3 2"'
_cell_length_a 4.1758
_cell_length_b 4.1758
_cell_length_c 40.2991
_cell_angle_alpha 90.00
_cell_angle_beta 90.00
_cell_angle_gamma 120.00
loop_
_atom_site_label
_atom_site_fract_x
_atom_site_fract_y
_atom_site_fract_z
Np1 0.0000 0.0000 0.0000
Np2 0.0000 0.0000 0.0873
Se1 0.0000 0.0000 0.2106
Se2 0.0000 0.0000 0.3757
```

formation energy without anion corrections: -1.025 eV per atom
calculated volume: 29.0 A^3/atom
relative energy among the computed polymorphs: 150.6 meV/atom

DyY3In4 | PBE | relaxed

Cell and atoms, written as CIF:
```
data_DyY3In4
_chemical_formula_sum 'Dy1 Y3 In4'
_symmetry_space_group_name_H-M 'P 4/m m m'
_symmetry_Int_Tables_number 123
_symmetry_space_group_name_Hall '-P 4 2'
_cell_length_a 3.765
_cell_length_b 3.765
_cell_length_c 15.069
_cell_angle_alpha 90.00
_cell_angle_beta 90.00
_cell_angle_gamma 90.00
loop_
_atom_site_label
_atom_site_fract_x
_atom_site_fract_y
_atom_site_fract_z
Dy1 0.000 0.000 0.000
Y1 0.000 0.000 0.249
Y2 0.000 0.000 0.500
In1 0.500 0.500 0.124
In2 0.500 0.500 0.375
```

calculated volume: 26.7 A^3/atom
energy relative to the elements: -11.3 kcal/mol of atoms